Entry 1:
A relaxed FeCoHg2 crystal. Source: the Alexandria database, functional PBEsol.

It has space group P4/mmm (No. 123), with a = 3.0848 Å, b = 3.0848 Å, c = 6.3817 Å, α = 90.00°, β = 90.00° and γ = 90.00°. The distinct sites, in fractional coordinates, are Fe at (0.0000, 0.0000, 0.0000), Co at (0.0000, 0.0000, 0.5000) and Hg at (0.5000, 0.5000, 0.2565).

The value obtained for the volume is 15.18 Å³ per atom. For the energy of formation from the pure elements, the calculation gives 43 kJ/mol of atoms.

---

Entry 2:
A relaxed LiFe2CoHg crystal. Source: the Alexandria database, functional PBEsol.

It has space group P4/mmm (No. 123), with a = 4.0328 Å, b = 4.0328 Å, c = 3.9809 Å, α = 90.00°, β = 90.00° and γ = 90.00°. The distinct sites, in fractional coordinates, are Li at (0.0000, 0.0000, 0.0000), Fe at (0.0000, 0.5000, 0.0000), Co at (0.0000, 0.0000, 0.5000) and Hg at (0.5000, 0.5000, 0.5000).

The value obtained for the volume is 12.95 Å³ per atom. For the energy of formation from the pure elements, the calculation gives 93 kJ/mol of atoms.

---

Entry 3:
A relaxed FeCoSi2Hg crystal. Source: the Alexandria database, functional PBEsol.

It has space group P4/mmm (No. 123), with a = 4.7839 Å, b = 4.7839 Å, c = 4.7103 Å, α = 90.00°, β = 90.00° and γ = 90.00°. The distinct sites, in fractional coordinates, are Fe at (0.0000, 0.0000, 0.0000), Co at (0.5000, 0.5000, 0.0000), Si at (0.0000, 0.5000, 0.5000) and Hg at (0.5000, 0.5000, 0.5000).

The value obtained for the volume is 21.56 Å³ per atom. The value obtained for the formation energy from raw total energies is 1.85 eV/atom.

---

Entry 4:
A relaxed FeCoMoI2 crystal. Source: the Alexandria database, functional PBEsol.

It has space group P4/mmm (No. 123), with a = 4.9805 Å, b = 4.9805 Å, c = 4.4274 Å, α = 90.00°, β = 90.00° and γ = 90.00°. The distinct sites, in fractional coordinates, are Fe at (0.0000, 0.0000, 0.0000), Co at (0.5000, 0.5000, 0.5000), Mo at (0.5000, 0.5000, 0.0000) and I at (0.0000, 0.5000, 0.5000).

The value obtained for the volume is 21.97 Å³ per atom. The value obtained for the formation energy from raw total energies is 1.43 eV/atom.

---

Ρ
In order: 14108, 9699, 5723, 7024
Unit: kg/m3